# 1
A geometry-optimized LiFe4Ag2 structure, computed with GGA-PBE.

DFT formation energy (kcal/mol of atoms): 23.1
Density of states at the Fermi level (states/eV per atom): 1.005
Final energy (eV/atom): -4.92
Total magnetic moment (μB per formula unit): 10.737

Structure (POSCAR):
```
LiFe4Ag2
1.0
-2.119 1.032 -3.228
-3.345 -1.250 1.796
-3.632 5.915 1.800
Fe Ag Li
4 2 1
direct
0.500 0.000 0.000
0.169 0.169 0.663
0.831 0.831 0.337
0.000 0.500 0.000
0.364 0.364 0.272
0.636 0.636 0.728
0.000 0.000 0.000
```

---

# 2
A geometry-optimized PmMgPt2 structure, computed with GGA-PBE.

DFT formation energy (kcal/mol of atoms): -22.1
Density of states at the Fermi level (states/eV per atom): 0.423
Final energy (eV/atom): -5.57
Total magnetic moment (μB per formula unit): 0.000

Structure (POSCAR):
```
PmMgPt2
1.0
6.761 0.000 0.000
0.000 6.890 0.000
0.000 0.000 7.127
Pt Mg Pm
8 4 4
direct
0.547 0.455 0.698
0.453 0.545 0.302
0.047 0.955 0.802
0.547 0.045 0.698
0.047 0.545 0.802
0.453 0.955 0.302
0.953 0.045 0.198
0.953 0.455 0.198
0.185 0.750 0.106
0.815 0.250 0.894
0.685 0.250 0.394
0.315 0.750 0.606
0.315 0.250 0.017
0.685 0.750 0.983
0.815 0.750 0.483
0.185 0.250 0.517
```

---

# 3
A geometry-optimized MnTeS2Cl structure, computed with GGA-PBE.

Relative energy among the computed polymorphs (meV per atom): 0.0
Density of states at the Fermi level (states/eV per atom): 1.037
Final energy (eV/atom): -4.31
Formation energy (no corrections) (eV per atom): 0.18
Total magnetic moment (μB per formula unit): 0.000

Structure (POSCAR):
```
MnTeS2Cl
1.0
-3.255 -0.070 3.133
1.558 -3.956 1.530
2.755 2.211 2.911
Mn Cl Te S
1 1 1 2
direct
0.000 0.000 0.000
0.000 0.000 0.500
0.500 0.500 0.500
0.000 0.500 0.000
0.500 0.000 0.000
```

---

# 4
A geometry-optimized LiSmTmGe structure, computed with GGA-PBE.

DFT formation energy (kcal/mol of atoms): -9.2
Density of states at the Fermi level (states/eV per atom): 0.564
Final energy (eV/atom): -4.33
Total magnetic moment (μB per formula unit): 0.000

Structure (POSCAR):
```
LiSmTmGe
1.0
5.036 0.000 0.000
2.518 4.361 0.000
2.518 1.454 4.112
Sm Tm Li Ge
1 1 1 1
direct
0.500 0.500 0.500
0.000 0.000 0.000
0.750 0.750 0.750
0.250 0.250 0.250
```

---

# 5
A geometry-optimized SrCd2NiGe structure, computed with GGA-PBE.

DFT formation energy (kcal/mol of atoms): -4.7
Density of states at the Fermi level (states/eV per atom): 0.527
Final energy (eV/atom): -2.99
Total magnetic moment (μB per formula unit): 0.000

Structure (POSCAR):
```
SrCd2NiGe
1.0
5.049 0.000 0.000
0.000 5.049 0.000
0.000 0.000 4.637
Cd Ge Ni Sr
2 1 1 1
direct
0.500 0.000 0.000
0.000 0.500 0.000
0.000 0.000 0.500
0.000 0.000 0.000
0.500 0.500 0.500
```

---

# 6
A geometry-optimized Sb2HRh3 structure, computed with GGA-PBE.

Density of states at the Fermi level (states/eV per atom): 0.421
Final energy (eV/atom): -5.83
Total magnetic moment (μB per formula unit): 0.000

Structure (POSCAR):
```
Sb2HRh3
1.0
5.490 0.000 0.000
0.000 6.209 -0.142
0.000 -2.723 5.582
Sb H Rh
4 2 6
direct
0.238 0.815 0.483
0.738 0.185 0.517
0.738 0.517 0.185
0.238 0.483 0.815
0.755 0.933 0.933
0.255 0.067 0.067
0.003 0.881 0.149
0.330 0.358 0.358
0.830 0.642 0.642
0.003 0.149 0.881
0.503 0.119 0.851
0.503 0.851 0.119
```

---

# 7
A geometry-optimized RbV2I6 structure, computed with GGA-PBE.

Density of states at the Fermi level (states/eV per atom): 1.125
Final energy (eV/atom): -3.86
Formation energy (no corrections) (eV per atom): -0.69
Total magnetic moment (μB per formula unit): 5.000

Structure (POSCAR):
```
RbV2I6
1.0
-7.284 -1.195 -3.666
2.720 2.644 -6.266
0.445 -7.166 1.451
I V Rb
6 2 1
direct
0.307 0.000 0.626
0.307 0.374 0.374
0.693 0.000 0.374
0.307 0.626 0.000
0.693 0.626 0.626
0.693 0.374 0.000
0.500 0.333 0.667
0.500 0.667 0.333
0.000 0.000 0.000
```

---

# 8
A geometry-optimized LaPmSiPd structure, computed with GGA-PBE.

Relative energy among the computed polymorphs (meV per atom): 0.0
Density of states at the Fermi level (states/eV per atom): 0.702
Final energy (eV/atom): -5.83
Formation energy (no corrections) (eV per atom): -0.76
Total magnetic moment (μB per formula unit): 0.000

Structure (POSCAR):
```
LaPmSiPd
1.0
4.243 0.000 0.000
0.000 4.345 0.000
-2.122 0.000 5.484
Pm Si La Pd
1 1 1 1
direct
0.863 0.500 0.725
0.568 0.500 0.137
0.140 0.000 0.281
0.428 0.000 0.857
```

---

# 9
A geometry-optimized MgCrIn2I structure, computed with GGA-PBE.

Density of states at the Fermi level (states/eV per atom): 0.491
Final energy (eV/atom): -3.08
Formation energy (no corrections) (eV per atom): 0.57
Total magnetic moment (μB per formula unit): 4.937

Structure (POSCAR):
```
MgCrIn2I
1.0
5.655 0.000 0.000
0.000 5.307 0.000
0.000 0.000 5.655
Cr In Mg I
1 2 1 1
direct
0.000 0.500 0.000
0.000 0.000 0.500
0.500 0.000 0.000
0.000 0.000 0.000
0.500 0.500 0.500
```

---

# 10
A geometry-optimized HfVReNi structure, computed with GGA-PBE.

DFT formation energy (kcal/mol of atoms): -4.7
Density of states at the Fermi level (states/eV per atom): 1.136
Final energy (eV/atom): -9.53
Total magnetic moment (μB per formula unit): 0.016

Structure (POSCAR):
```
HfVReNi
1.0
-3.259 2.842 -0.840
-4.074 -0.829 1.454
-1.709 2.418 3.261
V Re Hf Ni
1 1 1 1
direct
0.500 0.500 0.500
0.750 0.750 0.750
0.000 0.000 0.000
0.250 0.250 0.250
```

---

# 11
A geometry-optimized LiAs2Rh2 structure, computed with GGA-PBE.

DFT formation energy (kcal/mol of atoms): -8.7
Relative energy among the computed polymorphs (meV per atom): 153.4
Density of states at the Fermi level (states/eV per atom): 0.832
Final energy (eV/atom): -5.56
Total magnetic moment (μB per formula unit): 0.000

Structure (POSCAR):
```
LiAs2Rh2
1.0
7.271 0.000 0.000
0.000 7.271 0.000
0.000 0.000 2.980
As Rh Li
4 4 2
direct
0.347 0.847 0.000
0.847 0.653 0.000
0.153 0.347 0.000
0.653 0.153 0.000
0.358 0.142 0.500
0.858 0.358 0.500
0.642 0.858 0.500
0.142 0.642 0.500
0.500 0.500 0.000
0.000 0.000 0.000
```

---

# 12
A geometry-optimized KAgP2O structure, computed with GGA-PBE.

Relative energy among the computed polymorphs (meV per atom): 983.8
Density of states at the Fermi level (states/eV per atom): 0.724
Final energy (eV/atom): -2.37
Formation energy (no corrections) (eV per atom): 1.57
Total magnetic moment (μB per formula unit): 6.024

Structure (POSCAR):
```
KAgP2O
1.0
6.048 0.000 0.000
0.000 6.048 0.000
0.000 0.000 4.583
P K O Ag
2 1 1 1
direct
0.500 0.000 0.000
0.000 0.500 0.000
0.000 0.000 0.000
0.000 0.000 0.500
0.500 0.500 0.500
```